Record 1
{
  "formula": "Tm3Mg12Zn5",
  "functional": "PBE",
  "state": "optimized geometry",
  "density_g_cm3": 3.24,
  "total_magnetization_mub_per_fu": 0.0,
  "formation_energy_mev_per_atom": 450.4,
  "crystal_system": "cubic",
  "lattice": [[-4.0492, -13.7116, -1.8461], [8.1907, 1.0421, 11.8169], [-11.6891, 8.3009, 1.5080]],
  "species": ["Mg", "Mg", "Mg", "Mg", "Mg", "Mg", "Mg", "Zn", "Zn", "Mg", "Zn", "Mg", "Zn", "Mg", "Mg", "Mg", "Mg", "Tm", "Zn", "Mg", "Mg", "Tm", "Zn", "Mg", "Mg", "Zn", "Mg", "Mg", "Zn", "Mg", "Mg", "Zn", "Mg", "Tm", "Mg", "Mg", "Zn", "Zn", "Zn", "Tm", "Mg", "Zn", "Mg", "Tm", "Zn", "Mg", "Zn", "Tm", "Mg", "Mg", "Tm", "Mg", "Mg", "Mg", "Mg", "Zn", "Zn", "Tm", "Mg", "Tm", "Tm", "Mg", "Mg", "Tm", "Mg", "Zn", "Zn", "Tm", "Mg", "Mg", "Zn", "Mg", "Mg", "Mg", "Mg", "Mg", "Mg", "Mg", "Mg", "Mg"],
  "frac_coords": [[0.7964, 0.3250, 0.8948], [0.1750, 0.0698, 0.9714], [0.9016, 0.6052, 0.9302], [0.7036, 0.6052, 0.1750], [0.7964, 0.4714, 0.4016], [0.2036, 0.6750, 0.1052], [0.0698, 0.8948, 0.0984], [0.5000, 0.0000, 0.5000], [0.5000, 0.5000, 0.5000], [0.3948, 0.0984, 0.5698], [0.5000, 0.0000, 0.0000], [0.1052, 0.9302, 0.4016], [0.2500, 0.3750, 0.6250], [0.9016, 0.2964, 0.4714], [0.3250, 0.7964, 0.3948], [0.0286, 0.5984, 0.7036], [0.4016, 0.9714, 0.7964], [0.7500, 0.3750, 0.1250], [0.0000, 0.0000, 0.5000], [0.4714, 0.7964, 0.9016], [0.4302, 0.0286, 0.3250], [0.8750, 0.7500, 0.1250], [0.8750, 0.6250, 0.7500], [0.9714, 0.5698, 0.1750], [0.4016, 0.4302, 0.1052], [0.0000, 0.0000, 0.0000], [0.0286, 0.4302, 0.8250], [0.7036, 0.0984, 0.0286], [0.3750, 0.2500, 0.1250], [0.6750, 0.2036, 0.6052], [0.0984, 0.3948, 0.0698], [0.8750, 0.2500, 0.6250], [0.8948, 0.0698, 0.5984], [0.1250, 0.2500, 0.8750], [0.5286, 0.2036, 0.0984], [0.5698, 0.9714, 0.6750], [0.1250, 0.3750, 0.2500], [0.1250, 0.7500, 0.3750], [0.7500, 0.6250, 0.3750], [0.2500, 0.1250, 0.3750], [0.9714, 0.4016, 0.2964], [0.7500, 0.1250, 0.8750], [0.5984, 0.0286, 0.2036], [0.3750, 0.7500, 0.6250], [0.5000, 0.5000, 0.0000], [0.2964, 0.9016, 0.9714], [0.3750, 0.1250, 0.7500], [0.2500, 0.6250, 0.8750], [0.0984, 0.7036, 0.5286], [0.6052, 0.7036, 0.6750], [0.8750, 0.1250, 0.2500], [0.1750, 0.1052, 0.7036], [0.0698, 0.1750, 0.4714], [0.6750, 0.4714, 0.5698], [0.9302, 0.1052, 0.9016], [0.0000, 0.5000, 0.5000], [0.6250, 0.8750, 0.2500], [0.7500, 0.8750, 0.6250], [0.1052, 0.1750, 0.2036], [0.1250, 0.8750, 0.7500], [0.6250, 0.3750, 0.7500], [0.2036, 0.5286, 0.5984], [0.5698, 0.5984, 0.3948], [0.3750, 0.6250, 0.2500], [0.3948, 0.2964, 0.3250], [0.6250, 0.7500, 0.8750], [0.2500, 0.8750, 0.1250], [0.6250, 0.2500, 0.3750], [0.6052, 0.9016, 0.4302], [0.3250, 0.5286, 0.4302], [0.0000, 0.5000, 0.0000], [0.5984, 0.5698, 0.8948], [0.8250, 0.8948, 0.2964], [0.4714, 0.6750, 0.0698], [0.9302, 0.8250, 0.5286], [0.5286, 0.3250, 0.9302], [0.4302, 0.4016, 0.6052], [0.8250, 0.9302, 0.0286], [0.2964, 0.3948, 0.8250], [0.8948, 0.8250, 0.7964]]
}

---

Record 2
{
  "formula": "Tm3Mg2Zn2",
  "functional": "PBE",
  "state": "optimized geometry",
  "density_g_cm3": 6.69,
  "total_magnetization_mub_per_fu": 0.0,
  "formation_energy_mev_per_atom": -164.8,
  "crystal_system": "orthorhombic",
  "lattice": [[-1.9643, 2.8668, 0.2493], [-1.8130, -1.0049, -2.7297], [-10.0289, -5.5101, 8.6894]],
  "species": ["Tm", "Zn", "Tm", "Mg", "Zn", "Mg", "Tm"],
  "frac_coords": [[0.1236, 0.0000, 0.7528], [0.4381, 0.5000, 0.1238], [0.8764, 0.0000, 0.2472], [0.7049, 0.5000, 0.5902], [0.5619, 0.5000, 0.8762], [0.2951, 0.5000, 0.4098], [0.0000, 0.0000, 0.0000]]
}